Entry 1:
Ba2GdCu2HgO7: relaxed, PBE.

a b c (Å): 3.8892 3.8892 12.7910
angles (deg): 90.00 90.00 90.00
Space group P4/mmm (No. 123)
Unique sites:
Ba 0.0000 0.0000 0.2014 [2 per cell]
Gd 0.0000 0.0000 0.5000 [1 per cell]
Cu 0.5000 0.5000 0.3663 [2 per cell]
Hg 0.5000 0.5000 0.0000 [1 per cell]
O 0.0000 0.0000 0.0000 [1 per cell]
O 0.0000 0.5000 0.3852 [4 per cell]
O 0.5000 0.5000 0.1661 [2 per cell]

Calculated values
D(E_F) (states/eV/atom): 0.288


Entry 2:
Ba2GdCu2Hg2O8: relaxed, PBE.

a b c (Å): 3.9085 3.9085 29.5164
angles (deg): 90.00 90.00 90.00
Space group I4/mmm (No. 139)
Unique sites:
Ba 0.0000 0.0000 0.1277 [4 per cell]
Gd 0.0000 0.0000 0.0000 [2 per cell]
Cu 0.0000 0.0000 0.4423 [4 per cell]
Hg 0.0000 0.0000 0.2877 [4 per cell]
O 0.0000 0.0000 0.2172 [4 per cell]
O 0.0000 0.0000 0.3591 [4 per cell]
O 0.0000 0.5000 0.0498 [8 per cell]

Calculated values
D(E_F) (states/eV/atom): 0.347


| no. | calculated volume (Å³ per atom) | E (eV per atom) |
| --- | --- | --- |
| 1 | 14.9 | -6.40 |
| 2 | 15.0 | -5.95 |